<one>
Tb12Pr2Er5: relaxed, PBE-GGA.

Structure (POSCAR):
```
Tb12Pr2Er5
1.0
7.895 -4.615 0.000
7.895 4.615 0.000
-0.132 0.000 8.548
Tb Pr Er
12 2 5
Direct
0.060 0.060 0.330
0.066 0.682 0.347
0.162 0.524 0.757
0.318 0.934 0.653
0.406 0.406 0.118
0.476 0.838 0.243
0.524 0.162 0.757
0.594 0.594 0.882
0.682 0.066 0.347
0.838 0.476 0.243
0.934 0.318 0.653
0.940 0.940 0.670
0.184 0.816 0.000
0.816 0.184 0.000
0.197 0.197 0.010
0.269 0.269 0.425
0.500 0.500 0.500
0.731 0.731 0.575
0.803 0.803 0.990
```

Computed properties:
Crystal system = monoclinic
N(E_F) = 1.428 states/eV per atom
Symmetry = No. 12
Mass density = 8.1 g cm⁻³

<two>
Tb12Pr2Er5: relaxed, PBE-GGA.

Structure (POSCAR):
```
Tb12Pr2Er5
1.0
6.764 0.000 0.000
-1.628 8.660 0.000
-0.494 -4.264 10.528
Tb Pr Er
12 2 5
Direct
0.116 0.195 0.227
0.118 0.360 0.767
0.161 0.945 0.587
0.334 0.929 0.316
0.344 0.524 0.134
0.378 0.719 0.752
0.622 0.281 0.248
0.656 0.476 0.866
0.666 0.071 0.684
0.839 0.055 0.413
0.882 0.640 0.233
0.884 0.805 0.773
0.344 0.116 0.930
0.656 0.884 0.070
0.000 0.500 0.500
0.119 0.763 0.015
0.453 0.322 0.539
0.547 0.678 0.461
0.881 0.237 0.985
```

Computed properties:
Crystal system = triclinic
N(E_F) = 1.451 states/eV per atom
Symmetry = No. 2
Mass density = 8.1 g cm⁻³

Looking at the structures above, <two> is most stable, and the difference to the next one is 4.3 kJ/mol of atoms.